# 1
# Os2RhC

Os2RhC after structural relaxation (PBE-GGA, Alexandria via LeMat-Bulk).

## Properties
Final energy = -8.737 eV/atom
Formation energy = 1.02 eV per atom
Symmetry = I-42d

Unit cell a=4.8909 b=4.8909 c=6.3445 alpha=67.33 beta=67.33 gamma=90.00
Positions (direct):
C 0.5000 0.5000 0.0000
Rh 0.0000 0.0000 0.0000
Os 0.2142 0.6250 0.2500
C 0.2500 0.7500 0.5000
Os 0.5358 0.1250 0.2500
Os 0.3750 0.4642 0.7500
Os 0.8750 0.7858 0.7500
Rh 0.7500 0.2500 0.5000

# 2
# ScOsRh2C

ScOsRh2C after structural relaxation (PBE-GGA, Alexandria via LeMat-Bulk).

## Properties
Final energy = -8.621 eV/atom
Formation energy = -0.32 eV per atom
Symmetry = P4/mmm

Unit cell a=4.1322 b=4.1322 c=4.0623 alpha=90.00 beta=90.00 gamma=90.00
Positions (direct):
Rh 0.0000 0.5000 0.0000
Sc 0.5000 0.5000 0.5000
C 0.0000 0.0000 0.0000
Rh 0.5000 0.0000 0.0000
Os 0.0000 0.0000 0.5000

# 3
# Sc2OsRhC

Sc2OsRhC after structural relaxation (PBE-GGA, Alexandria via LeMat-Bulk).

## Properties
Final energy = -8.592 eV/atom
Formation energy = -0.50 eV per atom
Symmetry = P4/mmm

Unit cell a=4.5256 b=4.5256 c=3.8354 alpha=90.00 beta=90.00 gamma=90.00
Positions (direct):
Sc 0.5000 0.0000 0.0000
Rh 0.5000 0.5000 0.5000
Os 0.0000 0.0000 0.5000
C 0.0000 0.0000 0.0000
Sc 0.0000 0.5000 0.0000

# 4
# SiOs2RhC

SiOs2RhC after structural relaxation (PBE-GGA, Alexandria via LeMat-Bulk).

## Properties
Final energy = -5.859 eV/atom
Energy relative to the elements, uncorrected = 3032 meV per atom
Symmetry = P4/mmm

Unit cell a=4.7210 b=4.3775 c=4.7210 alpha=90.00 beta=90.00 gamma=90.00
Positions (direct):
Os 0.0000 0.0000 0.5000
Si 0.0000 0.5000 0.0000
Rh 0.0000 0.0000 0.0000
C 0.5000 0.5000 0.5000
Os 0.5000 0.0000 0.0000

# 5
# TiOsRhC2

TiOsRhC2 after structural relaxation (PBE-GGA, Alexandria via LeMat-Bulk).

## Properties
Final energy = -7.757 eV/atom
Formation energy = 1.23 eV per atom
Symmetry = P4/mmm

Unit cell a=3.8158 b=5.3707 c=3.8158 alpha=90.00 beta=90.00 gamma=90.00
Positions (direct):
Os 0.0000 0.0000 0.0000
Ti 0.5000 0.5000 0.5000
Rh 0.0000 0.5000 0.0000
C 0.5000 0.0000 0.0000
C 0.0000 0.0000 0.5000

# 6
# OsRuC2

OsRuC2 after structural relaxation (PBE-GGA, Alexandria via LeMat-Bulk).

## Properties
Final energy = -8.415 eV/atom
E above lowest polymorph = 756 meV/atom
Formation energy = 1.32 eV per atom
Symmetry = Fm-3m

Unit cell a=3.7968 b=3.7968 c=3.7968 alpha=60.00 beta=60.00 gamma=60.00
Positions (direct):
Ru 0.0000 0.0000 0.0000
C 0.2500 0.2500 0.2500
Os 0.5000 0.5000 0.5000
C 0.7500 0.7500 0.7500

# 7
# Os2RuC

Os2RuC after structural relaxation (PBE-GGA, Alexandria via LeMat-Bulk).

## Properties
Final energy = -9.710 eV/atom
Formation energy = 0.53 eV per atom
Symmetry = Cm

Unit cell a=6.8817 b=3.9501 c=3.9501 alpha=90.00 beta=90.31 gamma=90.00
Positions (direct):
Ru 0.8241 0.5000 0.1576
Ru 0.8241 0.0000 0.6576
Os 0.4294 0.5000 0.6545
Os 0.1854 0.5000 0.1527
Os 0.4294 0.0000 0.1545
Os 0.1854 0.0000 0.6527
C 0.7229 0.5000 0.6568
C 0.7229 0.0000 0.1568

# 8
# Os2RuC

Os2RuC after structural relaxation (PBE-GGA, Alexandria via LeMat-Bulk).

## Properties
Final energy = -9.769 eV/atom
Formation energy = 0.47 eV per atom
Symmetry = Imm2

Unit cell a=7.9933 b=2.7343 c=4.4802 alpha=90.00 beta=90.00 gamma=90.00
Positions (direct):
Ru 0.5000 0.5000 0.8780
Os 0.8016 0.0000 0.8601
C 0.5000 0.0000 0.2399
Ru 0.0000 0.0000 0.3780
Os 0.3016 0.5000 0.3601
Os 0.1984 0.0000 0.8601
Os 0.6984 0.5000 0.3601
C 0.0000 0.5000 0.7399